[1]
Density functional theory data (PBE) for crystalline SnSbAu at its relaxed geometry.

Output
E = -44.88 eV/cell

Cell and atoms, written as CIF:
```
data_SnSbAu
_chemical_formula_sum 'Sn4 Sb4 Au4'
_space_group_name_H-M_alt 'A m a 2'
_space_group_IT_number 40
_cell_length_a 6.212
_cell_length_b 7.397
_cell_length_c 7.070
_cell_angle_alpha 90.00
_cell_angle_beta 90.00
_cell_angle_gamma 90.00
loop_
_space_group_symop_operation_xyz
'x,y,z'
'-x,-y,z'
'-x+1/2,y,z'
'x+1/2,-y,z'
'x,y+1/2,z+1/2'
'-x,-y+1/2,z+1/2'
'-x+1/2,y+1/2,z+1/2'
'x+1/2,-y+1/2,z+1/2'
loop_
_atom_site_label
_atom_site_type_symbol
_atom_site_fract_x
_atom_site_fract_y
_atom_site_fract_z
Sn1 Sn 0.000 0.000 0.000
Sb1 Sb 0.250 0.099 0.419
Au1 Au 0.250 0.246 0.778
```

---

[2]
Density functional theory data (PBE) for crystalline Sn2SbAu at its relaxed geometry.

Output
E = -46.69 eV/cell

Cell and atoms, written as CIF:
```
data_Sn2SbAu
_chemical_formula_sum 'Sn6 Sb3 Au3'
_space_group_name_H-M_alt 'R 3 m'
_space_group_IT_number 160
_space_group_name_Hall 'R 3 -2"'
_cell_length_a 4.2264
_cell_length_b 4.2264
_cell_length_c 20.9413
_cell_angle_alpha 90.00
_cell_angle_beta 90.00
_cell_angle_gamma 120.00
loop_
_atom_site_label
_atom_site_type_symbol
_atom_site_fract_x
_atom_site_fract_y
_atom_site_fract_z
Sn1 Sn 0.0000 0.0000 0.0000
Sn2 Sn 0.0000 0.0000 0.1851
Sb1 Sb 0.0000 0.0000 0.4270
Au1 Au 0.0000 0.0000 0.5943
```

---

[3]
Density functional theory data (PBE) for crystalline SnSb2Au2 at its relaxed geometry.

Output
E = -57.44 eV/cell

Cell and atoms, written as CIF:
```
data_SnSb2Au2
_chemical_formula_sum 'Sn3 Sb6 Au6'
_space_group_name_H-M_alt 'R -3 m'
_space_group_IT_number 166
_space_group_name_Hall '-R 3 2"'
_cell_length_a 4.1439
_cell_length_b 4.1439
_cell_length_c 25.0151
_cell_angle_alpha 90.00
_cell_angle_beta 90.00
_cell_angle_gamma 120.00
loop_
_atom_site_label
_atom_site_type_symbol
_atom_site_fract_x
_atom_site_fract_y
_atom_site_fract_z
Sn1 Sn 0.0000 0.0000 0.0000
Sb1 Sb 0.0000 0.0000 0.2050
Au1 Au 0.0000 0.0000 0.3978
```

---

[4]
Density functional theory data (PBE) for crystalline SnSb3Au at its relaxed geometry.

Output
E = -17.07 eV/cell

Cell and atoms, written as CIF:
```
data_SnSb3Au
_chemical_formula_sum 'Sn1 Sb3 Au1'
_space_group_name_H-M_alt 'P m -3 m'
_space_group_IT_number 221
_space_group_name_Hall '-P 4 2 3'
_cell_length_a 5.416
_cell_length_b 5.416
_cell_length_c 5.416
_cell_angle_alpha 90.00
_cell_angle_beta 90.00
_cell_angle_gamma 90.00
loop_
_atom_site_label
_atom_site_type_symbol
_atom_site_fract_x
_atom_site_fract_y
_atom_site_fract_z
Sn1 Sn 0.000 0.000 0.000
Sb1 Sb 0.000 0.500 0.500
Au1 Au 0.500 0.500 0.500
```

---

[5]
Density functional theory data (PBE) for crystalline Sn2SbAu at its relaxed geometry.

Output
E = -15.05 eV/cell

Cell and atoms, written as CIF:
```
data_Sn2SbAu
_chemical_formula_sum 'Sn2 Sb1 Au1'
_space_group_name_H-M_alt 'P 4/m m m'
_space_group_IT_number 123
_space_group_name_Hall '-P 4 2'
_cell_length_a 4.860
_cell_length_b 4.860
_cell_length_c 4.270
_cell_angle_alpha 90.00
_cell_angle_beta 90.00
_cell_angle_gamma 90.00
loop_
_atom_site_label
_atom_site_type_symbol
_atom_site_fract_x
_atom_site_fract_y
_atom_site_fract_z
Sn1 Sn 0.000 0.500 0.000
Sb1 Sb 0.000 0.000 0.500
Au1 Au 0.500 0.500 0.500
```

---

[6]
Density functional theory data (PBE) for crystalline SnSbAu3 at its relaxed geometry.

Output
E = -15.95 eV/cell

Cell and atoms, written as CIF:
```
data_SnSbAu3
_chemical_formula_sum 'Sn1 Sb1 Au3'
_space_group_name_H-M_alt 'P m -3 m'
_space_group_IT_number 221
_space_group_name_Hall '-P 4 2 3'
_cell_length_a 5.216
_cell_length_b 5.216
_cell_length_c 5.216
_cell_angle_alpha 90.00
_cell_angle_beta 90.00
_cell_angle_gamma 90.00
loop_
_atom_site_label
_atom_site_type_symbol
_atom_site_fract_x
_atom_site_fract_y
_atom_site_fract_z
Sn1 Sn 0.000 0.000 0.000
Sb1 Sb 0.500 0.500 0.500
Au1 Au 0.000 0.500 0.500
```

---

[7]
Density functional theory data (PBE) for crystalline SnSb3Au2 at its relaxed geometry.

Output
E = -44.48 eV/cell

Cell and atoms, written as CIF:
```
data_SnSb3Au2
_chemical_formula_sum 'Sn2 Sb6 Au4'
_space_group_name_H-M_alt 'A m m 2'
_space_group_IT_number 38
_cell_length_a 4.038
_cell_length_b 8.456
_cell_length_c 9.853
_cell_angle_alpha 90.00
_cell_angle_beta 90.00
_cell_angle_gamma 90.00
loop_
_space_group_symop_operation_xyz
'x,y,z'
'-x,-y,z'
'-x,y,z'
'x,-y,z'
'x,y+1/2,z+1/2'
'-x,-y+1/2,z+1/2'
'-x,y+1/2,z+1/2'
'x,-y+1/2,z+1/2'
loop_
_atom_site_label
_atom_site_type_symbol
_atom_site_fract_x
_atom_site_fract_y
_atom_site_fract_z
Sn1 Sn 0.000 0.000 0.000
Sb1 Sb 0.000 0.000 0.418
Sb2 Sb 0.500 0.209 0.809
Au1 Au 0.000 0.000 0.696
Au2 Au 0.500 0.000 0.196
```

---

[8]
Density functional theory data (PBE) for crystalline Sn6SbAu at its relaxed geometry.

Output
E = -124.89 eV/cell

Cell and atoms, written as CIF:
```
data_Sn6SbAu
_chemical_formula_sum 'Sn24 Sb4 Au4'
_space_group_name_H-M_alt 'C 1 2/m 1'
_space_group_IT_number 12
_cell_length_a 13.978
_cell_length_b 10.080
_cell_length_c 10.031
_cell_angle_alpha 90.00
_cell_angle_beta 134.13
_cell_angle_gamma 90.00
loop_
_space_group_symop_operation_xyz
'x,y,z'
'-x,-y,-z'
'-x,y,-z'
'x,-y,z'
'x+1/2,y+1/2,z'
'-x+1/2,-y+1/2,-z'
'-x+1/2,y+1/2,-z'
'x+1/2,-y+1/2,z'
loop_
_atom_site_label
_atom_site_type_symbol
_atom_site_fract_x
_atom_site_fract_y
_atom_site_fract_z
Sn1 Sn 0.013 0.146 0.366
Sn2 Sn 0.126 0.500 0.995
Sn3 Sn 0.146 0.148 0.165
Sn4 Sn 0.167 0.500 0.328
Sb1 Sb 0.250 0.250 0.000
Au1 Au 0.250 0.250 0.500
```

---

Copy entry 8 word for word.
Density functional theory data (PBE) for crystalline Sn6SbAu at its relaxed geometry.

Output
E = -124.89 eV/cell

Cell and atoms, written as CIF:
```
data_Sn6SbAu
_chemical_formula_sum 'Sn24 Sb4 Au4'
_space_group_name_H-M_alt 'C 1 2/m 1'
_space_group_IT_number 12
_cell_length_a 13.978
_cell_length_b 10.080
_cell_length_c 10.031
_cell_angle_alpha 90.00
_cell_angle_beta 134.13
_cell_angle_gamma 90.00
loop_
_space_group_symop_operation_xyz
'x,y,z'
'-x,-y,-z'
'-x,y,-z'
'x,-y,z'
'x+1/2,y+1/2,z'
'-x+1/2,-y+1/2,-z'
'-x+1/2,y+1/2,-z'
'x+1/2,-y+1/2,z'
loop_
_atom_site_label
_atom_site_type_symbol
_atom_site_fract_x
_atom_site_fract_y
_atom_site_fract_z
Sn1 Sn 0.013 0.146 0.366
Sn2 Sn 0.126 0.500 0.995
Sn3 Sn 0.146 0.148 0.165
Sn4 Sn 0.167 0.500 0.328
Sb1 Sb 0.250 0.250 0.000
Au1 Au 0.250 0.250 0.500
```

---

Which formula does entry 2 have? Sn2SbAu

---

Which value of E does entry 1 give? -44.88 eV/cell

---

Number 7 is which compound? SnSb3Au2